Entry 1:
The following is a PBE calculation of MgUCoRh after structural relaxation, from Alexandria.

Unit cell a=6.483 b=6.483 c=6.483 alpha=90.00 beta=90.00 gamma=90.00
Space group F-43m (No. 216)
One atom of each set of equivalent atoms:
Mg  0.000  0.000  0.000 x4
U  0.000  0.000  0.500 x4
Co  0.250  0.250  0.750 x4
Rh  0.250  0.250  0.250 x4



Entry 2:
The following is a PBE calculation of MgVCoRh after structural relaxation, from Alexandria.

Unit cell a=5.997 b=5.997 c=5.997 alpha=90.00 beta=90.00 gamma=90.00
Space group F-43m (No. 216)
One atom of each set of equivalent atoms:
Mg  0.000  0.000  0.000 x4
V  0.000  0.000  0.500 x4
Co  0.250  0.250  0.250 x4
Rh  0.250  0.250  0.750 x4



Entry 3:
The following is a PBE calculation of YMgCoRh after structural relaxation, from Alexandria.

Unit cell a=6.495 b=6.495 c=6.495 alpha=90.00 beta=90.00 gamma=90.00
Space group F-43m (No. 216)
One atom of each set of equivalent atoms:
Y  0.000  0.000  0.000 x4
Mg  0.000  0.000  0.500 x4
Co  0.250  0.250  0.750 x4
Rh  0.250  0.250  0.250 x4



What ΔH_f (0 K) values result from the calculations? In sequence: -0.19, -0.21, -0.30 eV/atom.
What magnetization values result from the calculations? In sequence: 1.5, 1.0, 0.0 μB per formula unit.
What calculated density values result from the calculations? In sequence: 10.34, 7.30, 6.67 Mg/m³.